(1)
DFT (GGA-PBE) results for LiPmBr after structural relaxation.

Cell: 3.653 5.252 8.399 Å, 90.00 90.02 90.00°
Space group P2_1/m (No. 11)
Symmetry-distinct sites (fractional):
Li  0.249  0.250  0.329 (multiplicity 2)
Pm  0.250  0.250  0.899 (multiplicity 2)
Br  0.250  0.750  0.400 (multiplicity 2)

Raw total energy   -3.54 eV per atom
Formation energy from raw total energies   -0.763 eV/atom

---

(2)
DFT (GGA-PBE) results for Li4Pm2Br9 after structural relaxation.

Cell: 7.1163 7.1163 19.2377 Å, 90.00 90.00 120.00°
Space group P-3c1 (No. 165)
Symmetry-distinct sites (fractional):
Li  0.3333  0.6667  0.1644 (multiplicity 4)
Li  0.3333  0.6667  0.4863 (multiplicity 4)
Pm  0.0000  0.0000  0.1578 (multiplicity 4)
Br  0.0000  0.3355  0.2500 (multiplicity 6)
Br  0.0194  0.3637  0.5823 (multiplicity 12)

Raw total energy   -3.76 eV per atom
Formation energy from raw total energies   -1.612 eV/atom

---

(3)
DFT (GGA-PBE) results for Li2Pm2Br7 after structural relaxation.

Cell: 7.729 12.008 10.986 Å, 90.00 104.44 90.00°
Space group C2/m (No. 12)
Symmetry-distinct sites (fractional):
Li  0.179  0.000  0.207 (multiplicity 4)
Pm  0.000  0.346  0.500 (multiplicity 4)
Br  0.000  0.000  0.000 (multiplicity 2)
Br  0.032  0.500  0.300 (multiplicity 4)
Br  0.130  0.170  0.353 (multiplicity 8)

Raw total energy   -3.89 eV per atom
Formation energy from raw total energies   -1.616 eV/atom